No. 1
The following is a PBE calculation of a relaxed La6PrNd2Y crystal, from the Alexandria database.

```
data_La6PrNd2Y
_cell_length_a 11.602
_cell_length_b 7.112
_cell_length_c 9.252
_cell_angle_alpha 90.00
_cell_angle_beta 107.30
_cell_angle_gamma 90.00
_symmetry_space_group_name_H-M 'C 1 2/m 1'
_symmetry_Int_Tables_number 12
_symmetry_space_group_name_Hall '-C 2y'
loop_
_atom_site_label
_atom_site_fract_x
_atom_site_fract_y
_atom_site_fract_z
La1 0.126 0.000 0.421
La2 0.194 0.267 0.799
Pr1 0.000 0.000 0.000
Nd1 0.078 0.500 0.173
Y1 0.000 0.500 0.500
```

Properties
ΔE_f, kJ/mol of atoms: 17

=====

No. 2
The following is a PBE calculation of a relaxed Ac2Si3Pt4Au crystal, from the Alexandria database.

```
data_Ac2Si3Pt4Au
_cell_length_a 4.427
_cell_length_b 4.427
_cell_length_c 10.289
_cell_angle_alpha 90.00
_cell_angle_beta 90.00
_cell_angle_gamma 90.00
_symmetry_space_group_name_H-M 'P -4 m 2'
_symmetry_Int_Tables_number 115
_symmetry_space_group_name_Hall 'P -4 -2'
loop_
_atom_site_label
_atom_site_fract_x
_atom_site_fract_y
_atom_site_fract_z
Ac1 0.000 0.500 0.245
Si1 0.000 0.000 0.000
Si2 0.000 0.500 0.617
Pt1 0.000 0.000 0.500
Pt2 0.000 0.500 0.849
Pt3 0.500 0.500 0.500
Au1 0.500 0.500 0.000
```

Properties
Formation energy without anion corrections, meV per atom: -937.8

=====

No. 3
The following is a PBE calculation of a relaxed CaInSe2 crystal, from the Alexandria database.

```
data_CaInSe2
_cell_length_a 6.413
_cell_length_b 6.413
_cell_length_c 13.856
_cell_angle_alpha 90.00
_cell_angle_beta 90.00
_cell_angle_gamma 90.00
_symmetry_space_group_name_H-M 'I -4 2 d'
_symmetry_Int_Tables_number 122
_symmetry_space_group_name_Hall 'I -4 2bw'
loop_
_atom_site_label
_atom_site_fract_x
_atom_site_fract_y
_atom_site_fract_z
Ca1 0.000 0.000 0.000
In1 0.000 0.000 0.500
Se1 0.241 0.250 0.625
```

Properties
Formation energy without anion corrections, meV per atom: -1009.2

=====

| no. | total DFT energy (no corrections) (eV per atom) |
| --- | --- |
| 1 | -4.860 |
| 2 | -6.130 |
| 3 | -3.936 |